1.
Below is an optimized crystal structure of CrAsP2O, with properties calculated at the PBEsol level.

Cell lengths 4.729, 4.729, 3.567 Å; angles 90.00, 90.00, 90.00 degrees
Element x y z (fractional)
Cr (0.000, 0.000, 0.000)
As (0.500, 0.500, 0.500)
P (0.000, 0.500, 0.500)
P (0.500, 0.000, 0.500)
O (0.500, 0.500, 0.000)

Properties
The magnetic moment comes out at 3.3 μB per cell. The uncorrected formation energy comes out at 0.500 eV/atom. The final energy is -5.937 eV/atom.

2.
Below is an optimized crystal structure of Cr2AsOs, with properties calculated at the PBEsol level.

Cell lengths 3.745, 3.745, 3.720 Å; angles 90.00, 90.00, 90.00 degrees
Element x y z (fractional)
Cr (0.000, 0.500, 0.000)
Cr (0.500, 0.000, 0.000)
As (0.000, 0.000, 0.500)
Os (0.500, 0.500, 0.500)

Properties
The magnetic moment comes out at 3.8 μB per cell. The final energy is -9.140 eV/atom.

3.
Below is an optimized crystal structure of CrAs2Os, with properties calculated at the PBEsol level.

Cell lengths 4.259, 4.259, 3.008 Å; angles 90.00, 90.00, 90.00 degrees
Element x y z (fractional)
Cr (0.000, 0.000, 0.000)
As (0.000, 0.500, 0.500)
As (0.500, 0.000, 0.500)
Os (0.500, 0.500, 0.000)

Properties
The magnetic moment comes out at 0.8 μB per cell. For the energy above the most stable polymorph in this dataset, the calculation gives 0 meV/atom. The final energy is -8.011 eV/atom.

4.
Below is an optimized crystal structure of CrAs4Os, with properties calculated at the PBEsol level.

Cell lengths 5.262, 5.262, 5.262 Å; angles 60.00, 60.00, 60.00 degrees
Element x y z (fractional)
Cr (0.000, 0.000, 0.000)
As (0.126, 0.625, 0.625)
As (0.625, 0.126, 0.625)
As (0.625, 0.625, 0.126)
As (0.625, 0.625, 0.625)
Os (0.250, 0.250, 0.250)

Properties
The magnetic moment comes out at 3.2 μB per cell. The final energy is -6.070 eV/atom.